## HfPbIO2 (PBE)

Data for a relaxed structure of HfPbIO2. Values from VASP.

Geometry as Quantum ESPRESSO input:
```
&SYSTEM
  ibrav = 0, nat = 5, ntyp = 4
/
ATOMIC_SPECIES
Pb 207.20 Pb.upf
I 126.90 I.upf
Hf 178.49 Hf.upf
O 16.00 O.upf
CELL_PARAMETERS angstrom
-1.0069 -0.9787 4.1614
-3.1241 -2.7498 -1.4026
4.0669 -4.5739 -0.0916
ATOMIC_POSITIONS angstrom
Pb 0.0000 0.0000 0.0000
I 2.0335 -2.2869 -0.0458
Hf -0.0321 -4.1511 1.3336
O -1.5621 -1.3749 -0.7013
O -0.5035 -0.4893 2.0807
```

- calculated total energy (eV/atom) = -4.71
- E above lowest polymorph (eV/atom) = 1.578
- raw formation energy (eV/f.u.) = 1.6

***

## HfPbI2O (PBE)

Data for a relaxed structure of HfPbI2O. Values from VASP.

Geometry as Quantum ESPRESSO input:
```
&SYSTEM
  ibrav = 0, nat = 5, ntyp = 4
/
ATOMIC_SPECIES
Pb 207.20 Pb.upf
I 126.90 I.upf
Hf 178.49 Hf.upf
O 16.00 O.upf
CELL_PARAMETERS angstrom
-3.0135 -5.5485 -1.4712
2.5431 -2.7801 5.2758
-3.3526 1.2217 2.2598
ATOMIC_POSITIONS angstrom
Pb 0.0000 0.0000 0.0000
I 1.2715 -1.3901 2.6379
I -1.5067 -2.7742 -0.7356
Hf -1.9115 -3.5535 3.0322
O -1.6763 0.6108 1.1299
```

- calculated total energy (eV/atom) = -3.96
- E above lowest polymorph (eV/atom) = 1.329
- raw formation energy (eV/f.u.) = 1.9

***

## HfPbIO6 (PBE)

Data for a relaxed structure of HfPbIO6. Values from VASP.

Geometry as Quantum ESPRESSO input:
```
&SYSTEM
  ibrav = 0, nat = 9, ntyp = 4
/
ATOMIC_SPECIES
Hf 178.49 Hf.upf
Pb 207.20 Pb.upf
I 126.90 I.upf
O 16.00 O.upf
CELL_PARAMETERS angstrom
5.5190 0.0001 0.0000
2.7596 4.7795 0.0000
0.0001 -0.0001 5.3802
ATOMIC_POSITIONS angstrom
Hf 5.5189 3.1863 2.6901
Pb 8.2784 4.7794 5.3801
I 2.7594 1.5932 2.6901
O 1.0891 1.7854 1.5668
O 2.0907 0.0505 3.8133
O 4.4298 1.7855 3.8133
O 1.7577 2.9436 3.8133
O 3.7612 2.9436 1.5668
O 3.4281 0.0504 1.5668
```

- calculated total energy (eV/atom) = -6.49
- raw formation energy (eV/f.u.) = -13.4